Entry 1:
Entry from Alexandria via LeMat-Bulk: a relaxed structure of BeGa2F2 (PBE).

## Properties
* excess energy over the best structure of this formula in the dataset: 0 meV/atom
* electronic total energy: -0.14253 Ha/atom

Lattice parameters (Å, degrees): 5.8750 5.8750 4.9960 53.99 53.99 90.00
Fractional positions:
1 Be 0.0000 0.0000 0.0000
2 F 0.7428 0.7428 0.5143
3 F 0.2572 0.2572 0.4857
4 Ga 0.2500 0.7500 0.5000
5 Ga 0.7500 0.2500 0.5000



Entry 2:
Entry from Alexandria via LeMat-Bulk: a relaxed structure of BeGaF2 (PBE).

## Properties
* excess energy over the best structure of this formula in the dataset: 1339 meV/atom
* electronic total energy: -0.12178 Ha/atom

Lattice parameters (Å, degrees): 4.2116 4.2116 4.2116 60.00 60.00 60.00
Last column: magnetic moment on the atom in μB.
Fractional positions:
1 Ga 0.5000 0.5000 0.5000  0.08
2 F 0.7500 0.7500 0.7500  0.08
3 F 0.2500 0.2500 0.2500  0.08
4 Be 0.0000 0.0000 0.0000  0.30



Entry 3:
Entry from Alexandria via LeMat-Bulk: a relaxed structure of BeGa3F (PBE).

## Properties
* excess energy over the best structure of this formula in the dataset: 0 meV/atom
* electronic total energy: -0.11588 Ha/atom

Lattice parameters (Å, degrees): 4.4641 4.4641 4.4641 90.00 90.00 90.00
Fractional positions:
1 Ga 0.0000 0.5000 0.0000
2 Ga 0.0000 0.0000 0.5000
3 Ga 0.5000 0.0000 0.0000
4 F 0.5000 0.5000 0.5000
5 Be 0.0000 0.0000 0.0000



Entry 4:
Entry from Alexandria via LeMat-Bulk: a relaxed structure of BeGaF3 (PBE).

## Properties
* excess energy over the best structure of this formula in the dataset: 0 meV/atom
* electronic total energy: -0.17291 Ha/atom

Lattice parameters (Å, degrees): 3.7481 3.7481 3.7481 90.00 90.00 90.00
Fractional positions:
1 F 0.0000 0.0000 0.5000
2 F 0.0000 0.5000 0.0000
3 F 0.5000 0.0000 0.0000
4 Ga 0.5000 0.5000 0.5000
5 Be 0.0000 0.0000 0.0000



Entry 5:
Entry from Alexandria via LeMat-Bulk: a relaxed structure of Be2GaF (PBE).

## Properties
* excess energy over the best structure of this formula in the dataset: 0 meV/atom
* electronic total energy: -0.12426 Ha/atom

Lattice parameters (Å, degrees): 4.9194 4.9194 5.5009 63.44 63.44 90.00
Fractional positions:
1 Be 0.5375 0.1250 0.2500
2 Be 0.2125 0.6250 0.2500
3 Be 0.8750 0.7875 0.7500
4 Be 0.3750 0.4625 0.7500
5 Ga 0.0000 0.0000 0.0000
6 Ga 0.7500 0.2500 0.5000
7 F 0.5000 0.5000 0.0000
8 F 0.2500 0.7500 0.5000



Entry 6:
Entry from Alexandria via LeMat-Bulk: a relaxed structure of BeGaHF2 (PBE).

## Properties
* electronic total energy: -0.13079 Ha/atom

Lattice parameters (Å, degrees): 4.5810 2.7066 4.5810 90.00 90.00 90.00
Fractional positions:
1 Be 0.0000 0.5000 0.0000
2 Ga 0.5000 0.5000 0.5000
3 F 0.5000 0.0000 0.0000
4 F 0.0000 0.0000 0.5000
5 H 0.0000 0.0000 0.0000



Entry 7:
Entry from Alexandria via LeMat-Bulk: a relaxed structure of BeGaIrF2 (PBE).

## Properties
* electronic total energy: -0.19101 Ha/atom

Lattice parameters (Å, degrees): 3.3730 6.2432 3.3730 90.00 90.00 90.00
Fractional positions:
1 Be 0.0000 0.0000 0.0000
2 F 0.0000 0.0000 0.5000
3 F 0.5000 0.0000 0.0000
4 Ir 0.0000 0.5000 0.0000
5 Ga 0.5000 0.5000 0.5000



Entry 8:
Entry from Alexandria via LeMat-Bulk: a relaxed structure of KBe2GaF (PBE).

## Properties
* electronic total energy: -0.08273 Ha/atom

Lattice parameters (Å, degrees): 4.3745 5.2557 4.3745 90.00 90.00 90.00
Fractional positions:
1 Be 0.5000 0.0000 0.0000
2 Be 0.0000 0.0000 0.5000
3 K 0.5000 0.5000 0.5000
4 Ga 0.0000 0.5000 0.0000
5 F 0.0000 0.0000 0.0000



| no. | M_tot (Bohr magnetons per cell) |
| --- | --- |
| 1 | 0.00 |
| 2 | 0.97 |
| 3 | 0.00 |
| 4 | 0.00 |
| 5 | 0.00 |
| 6 | 0.00 |
| 7 | 0.00 |
| 8 | 0.00 |